Record 1
Entry from the Alexandria database: an optimized crystal structure of Ni2PbCl (PBE-GGA).

Cell and atoms, written as CIF:
```
data_Ni2PbCl
_space_group_name_H-M_alt 'F m -3 m'
_space_group_IT_number 225
_space_group_name_Hall '-F 4 2 3'
_cell_length_a 6.462
_cell_length_b 6.462
_cell_length_c 6.462
_cell_angle_alpha 90.00
_cell_angle_beta 90.00
_cell_angle_gamma 90.00
loop_
_atom_site_label
_atom_site_type_symbol
_atom_site_fract_x
_atom_site_fract_y
_atom_site_fract_z
Ni1 Ni 0.250 0.250 0.250
Pb1 Pb 0.000 0.000 0.000
Cl1 Cl 0.000 0.000 0.500
```

Output
Energy in eV/atom: -3.86
Magnetic moment in μB/atom: 0.000
Energy relative to the lowest polymorph listed for this composition in meV per atom: 370.4

Record 2
Entry from the Alexandria database: an optimized crystal structure of NaCaCo2Ir (PBE-GGA).

Cell and atoms, written as CIF:
```
data_NaCaCo2Ir
_space_group_name_H-M_alt 'P 4/m m m'
_space_group_IT_number 123
_space_group_name_Hall '-P 4 2'
_cell_length_a 4.816
_cell_length_b 4.816
_cell_length_c 4.998
_cell_angle_alpha 90.00
_cell_angle_beta 90.00
_cell_angle_gamma 90.00
loop_
_atom_site_label
_atom_site_type_symbol
_atom_site_fract_x
_atom_site_fract_y
_atom_site_fract_z
Na1 Na 0.000 0.000 0.000
Ca1 Ca 0.500 0.500 0.500
Co1 Co 0.000 0.500 0.500
Ir1 Ir 0.500 0.500 0.000
```

Output
E_form in eV per atom: 1.753
Energy in eV/atom: -3.53
Magnetic moment in μB/atom: 0.727

Record 3
Entry from the Alexandria database: an optimized crystal structure of Be3CrBi (PBE-GGA).

Cell and atoms, written as CIF:
```
data_Be3CrBi
_space_group_name_H-M_alt 'P m -3 m'
_space_group_IT_number 221
_space_group_name_Hall '-P 4 2 3'
_cell_length_a 4.642
_cell_length_b 4.642
_cell_length_c 4.642
_cell_angle_alpha 90.00
_cell_angle_beta 90.00
_cell_angle_gamma 90.00
loop_
_atom_site_label
_atom_site_type_symbol
_atom_site_fract_x
_atom_site_fract_y
_atom_site_fract_z
Be1 Be 0.000 0.000 0.500
Cr1 Cr 0.500 0.500 0.500
Bi1 Bi 0.000 0.000 0.000
```

Output
E_form in eV per atom: 2.159
Energy in eV/atom: -2.78
Magnetic moment in μB/atom: 0.041
Energy relative to the lowest polymorph listed for this composition in meV per atom: 1098.6